VASP calculation (PBE) on a geometry-optimized YMgReH2 structure.

Results
Space-group type = P4/mmm, No. 123
Total energy = -23.56 eV for the cell shown

a = 3.9957 Å, b = 3.9957 Å, c = 5.6695 Å
α = 90.00°, β = 90.00°, γ = 90.00°
Closest atoms and distances in Å follow each position.
Atoms (fractional coordinates):
Y (0.0000, 0.0000, 0.0000)  4 H 2.00
Mg (0.5000, 0.5000, 0.5000)  4 Re 2.83
Re (0.0000, 0.0000, 0.5000)  4 Mg 2.83, 2 Y 2.83
H (0.0000, 0.5000, 0.0000)  2 Y 2.00
H (0.5000, 0.0000, 0.0000)  2 Y 2.00


VASP calculation (PBE) on a geometry-optimized Mg3H3Rh2 structure.

Results
Space-group type = Cmcm, No. 63
Total energy = -62.84 eV for the cell shown

a = 5.1745 Å, b = 5.1745 Å, c = 11.0399 Å
α = 90.00°, β = 90.00°, γ = 138.07°
Closest atoms and distances in Å follow each position.
Atoms (fractional coordinates):
Mg (0.0763, 0.9237, 0.6097)  1 H 2.28
Mg (0.0763, 0.9237, 0.8903)  1 H 2.28
Mg (0.3807, 0.6193, 0.7500)  4 H 2.34-2.60
Mg (0.6193, 0.3807, 0.2500)  4 H 2.34-2.60
Mg (0.9237, 0.0763, 0.1097)  1 H 2.28
Mg (0.9237, 0.0763, 0.3903)  1 H 2.28
H (0.3019, 0.6981, 0.5498)  3 Rh 1.87-1.96
H (0.3019, 0.6981, 0.9502)  3 Rh 1.87-1.96
H (0.3077, 0.6923, 0.2500)  2 Rh 1.83
H (0.6923, 0.3077, 0.7500)  2 Rh 1.83
H (0.6981, 0.3019, 0.0498)  3 Rh 1.87-1.96
H (0.6981, 0.3019, 0.4502)  3 Rh 1.87-1.96
Rh (0.2192, 0.7808, 0.1038)  4 H 1.83-1.96
Rh (0.2192, 0.7808, 0.3962)  4 H 1.83-1.96
Rh (0.7808, 0.2192, 0.6038)  4 H 1.83-1.96
Rh (0.7808, 0.2192, 0.8962)  4 H 1.83-1.96


> What is the formula in the first record?

YMgReH2


> total energy of number 1 (YMgReH2)?

-23.56 eV for the cell shown


> Which value of total energy does entry 2 give?

-62.84 eV for the cell shown


> Among the records above, which one has the highest total energy?

YMgReH2